Record 1
Material: CdTe2Cl
Method: DFT, PBE-GGA
State: optimized geometry

a b c (Å): 10.8670 10.8670 10.8670
angles (deg): 18.03 18.03 18.03
Last column: nearest neighbours and their distance in Å.
Atoms (fractional coordinates):
Cl 0.5000 0.5000 0.5000  6 Te 3.20, 6 Cl 3.41
Te 0.9121 0.9121 0.9121  1 Cd 2.82
Te 0.0879 0.0879 0.0879  1 Cd 2.82
Cd 0.0000 0.0000 0.0000  2 Te 2.82

mass density = 6.2 Mg/m³
offset from the most stable computed form = 447 meV/atom
energy relative to the elements, uncorrected = 85 meV/atom
space group = R-3m (166)
density of states at the Fermi level = 2.0 states/eV/f.u.

=====

Record 2
Material: CdTe2Cl
Method: DFT, PBE-GGA
State: optimized geometry

a b c (Å): 8.6720 8.6720 8.6720
angles (deg): 30.03 30.03 30.03
Last column: nearest neighbours and their distance in Å.
Atoms (fractional coordinates):
Cl 0.0000 0.0000 0.0000  2 Te 2.66
Te 0.8929 0.8929 0.8929  1 Cl 2.66
Te 0.1071 0.1071 0.1071  1 Cl 2.66
Cd 0.5000 0.5000 0.5000  6 Te 2.99

mass density = 4.6 Mg/m³
offset from the most stable computed form = 258 meV/atom
energy relative to the elements, uncorrected = -105 meV/atom
space group = R-3m (166)
density of states at the Fermi level = 5.7 states/eV/f.u.